(1)
Nd2Ho8Th3 | PBE | optimized geometry

Structure (extended XYZ):
```
13
Lattice="6.440 0.000 1.469 0.000 9.240 0.000 -0.398 -4.620 7.434" Properties=species:S:1:pos:R:3 pbc="T T T"
Nd 1.067 0.000 3.506
Nd 4.976 4.620 5.397
Ho 0.787 4.620 1.382
Ho 5.255 0.000 7.522
Ho 4.390 0.000 3.958
Ho 1.653 4.620 4.945
Ho 2.508 1.654 6.406
Ho 2.508 -1.654 6.406
Ho 3.535 6.274 2.497
Ho 3.535 2.967 2.497
Th 3.220 0.000 0.735
Th 0.000 1.564 0.000
Th 0.000 7.676 0.000
```

Calculated values
Energy relative to the elements   6.16 kcal/mol of atoms
Polymorph energy (0 for the lowest one)   0.0 kJ per mole of atoms
Crystal system   monoclinic

(2)
ZrBeCl2 | PBE | optimized geometry

Structure (extended XYZ):
```
4
Lattice="3.163 0.000 0.000 0.000 5.322 0.000 0.000 0.000 4.226" Properties=species:S:1:pos:R:3 pbc="T T T"
Be 0.000 2.661 2.113
Zr 1.582 0.000 2.113
Cl 0.000 0.000 0.000
Cl 1.582 2.661 0.000
```

Calculated values
Polymorph energy (0 for the lowest one)   60.5 kJ per mole of atoms
Crystal system   orthorhombic

(3)
TbZrIn2 | PBE | optimized geometry

Structure (extended XYZ):
```
4
Lattice="4.365 0.000 0.000 0.000 4.721 0.000 0.000 0.000 4.721" Properties=species:S:1:pos:R:3 pbc="T T T"
Tb 2.183 2.361 2.361
Zr 2.183 0.000 0.000
In 0.000 0.000 2.361
In 0.000 2.361 0.000
```

Calculated values
Energy relative to the elements   -7.37 kcal/mol of atoms
Crystal system   tetragonal

(4)
Ac5SiGe2 | PBE | optimized geometry

Structure (extended XYZ):
```
16
Lattice="6.393 0.000 0.000 -3.197 6.940 0.000 0.000 0.000 15.056" Properties=species:S:1:pos:R:3 pbc="T T T"
Ac 3.197 6.164 13.329
Ac 3.197 6.164 9.255
Ac 0.000 4.765 6.482
Ac 0.000 4.765 1.046
Ac 3.197 3.099 3.764
Ac 0.000 3.840 11.292
Ac 3.197 2.175 8.575
Ac 3.197 2.175 14.010
Ac 0.000 0.776 1.727
Ac 0.000 0.776 5.801
Si 3.197 3.856 11.292
Si 0.000 3.084 3.764
Ge 3.197 4.624 6.501
Ge 3.197 4.624 1.027
Ge 0.000 2.316 8.555
Ge 0.000 2.316 14.029
```

Calculated values
Polymorph energy (0 for the lowest one)   16.5 kJ per mole of atoms
Crystal system   orthorhombic